{
  "formula": "Tb3Y8Tm3",
  "functional": "PBE",
  "state": "optimized geometry",
  "cell": [[5.617, 0.000, 0.000], [2.809, 8.788, -2.719], [2.809, -0.224, 9.196]],
  "species": ["Tb", "Tb", "Tb", "Tm", "Tm", "Tm", "Y", "Y", "Y", "Y", "Y", "Y", "Y", "Y"],
  "fractional_positions": [[0.801, 0.199, 0.199], [0.500, 0.500, 0.500], [0.199, 0.801, 0.801], [0.000, 0.182, 0.818], [0.500, 0.000, 0.000], [0.000, 0.818, 0.182], [0.841, 0.555, 0.763], [0.658, 0.565, 0.120], [0.841, 0.763, 0.555], [0.342, 0.435, 0.880], [0.159, 0.445, 0.237], [0.658, 0.120, 0.565], [0.342, 0.880, 0.435], [0.159, 0.237, 0.445]],
  "final_energy_ev_per_atom": -5.51,
  "magmom_total_mub_per_fu": 0.0,
  "e_form_mev_per_atom": 132
}